A plane-wave DFT calculation with PBE-GGA was carried out for La2PuGe3Rh4 after structural relaxation.

For the volume, the calculation gives 201 Å³ per cell. As for the magnetic moment: 4.9 μB/f.u. The density of states at the Fermi level comes out at 8.8 states/eV per cell. The total energy is -75.8 eV per cell. For the mass density, the calculation gives 9.5 g cm⁻³. As for the formation energy from the elements: -80.8 kJ per mole of atoms.

Cell lengths 4.280, 4.280, 10.954 Å; angles 90.00, 90.00, 90.00 degrees
Each line ends with the local moment (μB).
Sites, in units of the cell vectors:
La1 0.500 0.000 0.235  -0.03
La2 0.000 0.500 0.765  -0.03
Pu1 0.500 0.500 0.500  -4.93
Ge1 0.000 0.000 0.500  0.06
Ge2 0.500 0.000 0.879  0.00
Ge3 0.000 0.500 0.121  0.00
Rh1 0.500 0.500 0.000  0.01
Rh2 0.000 0.000 0.000  0.00
Rh3 0.500 0.000 0.652  0.14
Rh4 0.000 0.500 0.348  0.14

---

A plane-wave DFT calculation with PBE-GGA was carried out for LaPuGe2Ru after structural relaxation.

For the volume, the calculation gives 111 Å³ per cell. As for the magnetic moment: 4.7 μB/f.u. The density of states at the Fermi level comes out at 9.3 states/eV per cell. The total energy is -40.1 eV per cell. For the mass density, the calculation gives 9.4 g cm⁻³. As for the formation energy from the elements: -44.0 kJ per mole of atoms.

Cell lengths 4.192, 4.192, 6.973 Å; angles 107.49, 107.49, 90.00 degrees
Each line ends with the local moment (μB).
Sites, in units of the cell vectors:
La1 0.000 0.000 0.000  0.01
Pu1 0.750 0.250 0.500  4.97
Ge1 0.599 0.599 0.199  0.00
Ge2 0.401 0.401 0.801  0.00
Ru1 0.250 0.750 0.500  -0.54

---

A plane-wave DFT calculation with PBE-GGA was carried out for LaPuTcGe2 after structural relaxation.

For the volume, the calculation gives 110 Å³ per cell. As for the magnetic moment: 4.4 μB/f.u. The density of states at the Fermi level comes out at 9.7 states/eV per cell. The total energy is -40.8 eV per cell. For the mass density, the calculation gives 9.4 g cm⁻³. As for the formation energy from the elements: -37.8 kJ per mole of atoms.

Cell lengths 4.163, 4.163, 7.015 Å; angles 107.26, 107.26, 90.00 degrees
Each line ends with the local moment (μB).
Sites, in units of the cell vectors:
La1 0.000 0.000 0.000  0.01
Pu1 0.250 0.750 0.500  4.85
Tc1 0.750 0.250 0.500  -0.70
Ge1 0.599 0.599 0.199  0.01
Ge2 0.401 0.401 0.801  0.01

---

A plane-wave DFT calculation with PBE-GGA was carried out for LaPuZnGe after structural relaxation.

For the volume, the calculation gives 99 Å³ per cell. As for the magnetic moment: 6.4 μB/f.u. The density of states at the Fermi level comes out at 10.0 states/eV per cell. The total energy is -26.6 eV per cell. For the mass density, the calculation gives 8.8 g cm⁻³. As for the formation energy from the elements: -35.0 kJ per mole of atoms.

Cell lengths 5.189, 5.189, 5.189 Å; angles 60.00, 60.00, 60.00 degrees
Each line ends with the local moment (μB).
Sites, in units of the cell vectors:
Ge1 0.250 0.250 0.250  -0.06
La1 0.500 0.500 0.500  0.21
Zn1 0.750 0.750 0.750  0.06
Pu1 0.000 0.000 0.000  5.53

---

A plane-wave DFT calculation with PBE-GGA was carried out for RbLaGe3 after structural relaxation.

For the volume, the calculation gives 161 Å³ per cell. As for the magnetic moment: 0.0 μB/f.u. The density of states at the Fermi level comes out at 4.2 states/eV per cell. The total energy is -14.6 eV per cell. For the mass density, the calculation gives 4.6 g cm⁻³. As for the formation energy from the elements: 98.5 kJ per mole of atoms.

Cell lengths 5.439, 5.439, 5.439 Å; angles 90.00, 90.00, 90.00 degrees
Sites, in units of the cell vectors:
Ge1 0.000 0.500 0.000
Ge2 0.000 0.000 0.500
Ge3 0.500 0.000 0.000
Rb1 0.000 0.000 0.000
La1 0.500 0.500 0.500

---

A plane-wave DFT calculation with PBE-GGA was carried out for RbLa2Ge after structural relaxation.

For the volume, the calculation gives 315 Å³ per cell. As for the magnetic moment: 0.0 μB/f.u. The density of states at the Fermi level comes out at 10.2 states/eV per cell. The total energy is -30.2 eV per cell. For the mass density, the calculation gives 4.6 g cm⁻³. As for the formation energy from the elements: 8.2 kJ per mole of atoms.

Cell lengths 9.250, 9.250, 7.504 Å; angles 51.95, 51.95, 90.00 degrees
Sites, in units of the cell vectors:
Ge1 0.500 0.500 0.000
Ge2 0.250 0.750 0.500
Rb1 0.000 0.000 0.000
Rb2 0.750 0.250 0.500
La1 0.558 0.125 0.250
La2 0.192 0.625 0.250
La3 0.375 0.442 0.750
La4 0.875 0.808 0.750

---

A plane-wave DFT calculation with PBE-GGA was carried out for RbLaGe3 after structural relaxation.

For the volume, the calculation gives 196 Å³ per cell. As for the magnetic moment: 0.0 μB/f.u. The density of states at the Fermi level comes out at 3.9 states/eV per cell. The total energy is -17.7 eV per cell. For the mass density, the calculation gives 3.7 g cm⁻³. As for the formation energy from the elements: 38.8 kJ per mole of atoms.

Cell lengths 5.808, 5.808, 5.808 Å; angles 90.00, 90.00, 90.00 degrees
Sites, in units of the cell vectors:
Ge1 0.000 0.500 0.000
Ge2 0.000 0.000 0.500
Ge3 0.500 0.000 0.000
Rb1 0.500 0.500 0.500
La1 0.000 0.000 0.000

---

A plane-wave DFT calculation with PBE-GGA was carried out for RbLaGe4 after structural relaxation.

For the volume, the calculation gives 149 Å³ per cell. As for the magnetic moment: 0.0 μB/f.u. The total energy is -25.7 eV per cell. For the mass density, the calculation gives 5.7 g cm⁻³. As for the formation energy from the elements: -21.5 kJ per mole of atoms.

Cell lengths 5.948, 5.948, 5.948 Å; angles 60.00, 60.00, 60.00 degrees
Sites, in units of the cell vectors:
Ge1 0.636 0.636 0.092
Ge2 0.636 0.092 0.636
Ge3 0.636 0.636 0.636
Ge4 0.092 0.636 0.636
Rb1 0.250 0.250 0.250
La1 0.000 0.000 0.000

---

A plane-wave DFT calculation with PBE-GGA was carried out for RbLa3Ge after structural relaxation.

For the volume, the calculation gives 218 Å³ per cell. As for the magnetic moment: 0.0 μB/f.u. The density of states at the Fermi level comes out at 11.4 states/eV per cell. The total energy is -20.2 eV per cell. For the mass density, the calculation gives 4.4 g cm⁻³. As for the formation energy from the elements: 3.8 kJ per mole of atoms.

Cell lengths 6.019, 6.019, 6.019 Å; angles 90.00, 90.00, 90.00 degrees
Sites, in units of the cell vectors:
Ge1 0.000 0.000 0.000
Rb1 0.500 0.500 0.500
La1 0.000 0.500 0.000
La2 0.000 0.000 0.500
La3 0.500 0.000 0.000

---

A plane-wave DFT calculation with PBE-GGA was carried out for RbLa3Ge after structural relaxation.

For the volume, the calculation gives 173 Å³ per cell. As for the magnetic moment: 0.0 μB/f.u. The density of states at the Fermi level comes out at 2.5 states/eV per cell. The total energy is -15.0 eV per cell. For the mass density, the calculation gives 5.5 g cm⁻³. As for the formation energy from the elements: 102.6 kJ per mole of atoms.

Cell lengths 5.575, 5.575, 5.575 Å; angles 90.00, 90.00, 90.00 degrees
Sites, in units of the cell vectors:
Ge1 0.500 0.500 0.500
Rb1 0.000 0.000 0.000
La1 0.000 0.500 0.000
La2 0.000 0.000 0.500
La3 0.500 0.000 0.000

---

A plane-wave DFT calculation with PBE-GGA was carried out for RbLaGeS4 after structural relaxation.

For the volume, the calculation gives 402 Å³ per cell. Its formation energy (no corrections) is -1.319 eV/atom. As for the magnetic moment: 0.0 μB/f.u. The density of states at the Fermi level comes out at 0.0 states/eV per cell. The total energy is -72.5 eV per cell. For the mass density, the calculation gives 3.5 g cm⁻³.

Cell lengths 6.744, 6.768, 9.208 Å; angles 90.00, 107.15, 90.00 degrees
Sites, in units of the cell vectors:
Rb1 0.731 0.750 0.935
Rb2 0.269 0.250 0.065
La1 0.766 0.750 0.448
La2 0.234 0.250 0.552
Ge1 0.218 0.750 0.325
Ge2 0.782 0.250 0.675
S1 0.001 0.506 0.711
S2 0.999 0.006 0.289
S3 0.999 0.494 0.289
S4 0.001 0.994 0.711
S5 0.415 0.750 0.172
S6 0.585 0.250 0.828
S7 0.411 0.750 0.568
S8 0.589 0.250 0.432

---

A plane-wave DFT calculation with PBE-GGA was carried out for Rb3La3GeS8 after structural relaxation.

For the volume, the calculation gives 472 Å³ per cell. Its formation energy (no corrections) is -1.477 eV/atom. As for the magnetic moment: 0.0 μB/f.u. The total energy is -77.5 eV per cell. For the mass density, the calculation gives 3.5 g cm⁻³.

Cell lengths 8.345, 8.345, 9.195 Å; angles 116.99, 90.00, 120.00 degrees
Sites, in units of the cell vectors:
Rb1 0.000 0.000 0.000
Rb2 0.000 0.500 0.000
Rb3 0.500 0.500 0.000
La1 0.500 0.000 0.500
La2 0.500 0.500 0.500
La3 0.000 0.500 0.500
Ge1 0.000 0.000 0.500
S1 0.267 0.535 0.302
S2 0.733 0.465 0.698
S3 0.795 0.590 0.321
S4 0.205 0.410 0.679
S5 0.795 0.026 0.321
S6 0.205 0.974 0.679
S7 0.231 0.026 0.321
S8 0.769 0.974 0.679

---

Copy entry 12 word for word.
A plane-wave DFT calculation with PBE-GGA was carried out for Rb3La3GeS8 after structural relaxation.

For the volume, the calculation gives 472 Å³ per cell. Its formation energy (no corrections) is -1.477 eV/atom. As for the magnetic moment: 0.0 μB/f.u. The total energy is -77.5 eV per cell. For the mass density, the calculation gives 3.5 g cm⁻³.

Cell lengths 8.345, 8.345, 9.195 Å; angles 116.99, 90.00, 120.00 degrees
Sites, in units of the cell vectors:
Rb1 0.000 0.000 0.000
Rb2 0.000 0.500 0.000
Rb3 0.500 0.500 0.000
La1 0.500 0.000 0.500
La2 0.500 0.500 0.500
La3 0.000 0.500 0.500
Ge1 0.000 0.000 0.500
S1 0.267 0.535 0.302
S2 0.733 0.465 0.698
S3 0.795 0.590 0.321
S4 0.205 0.410 0.679
S5 0.795 0.026 0.321
S6 0.205 0.974 0.679
S7 0.231 0.026 0.321
S8 0.769 0.974 0.679

---

What is the formula in the seventh record? RbLaGe3